(1)
The following is a PBE calculation of a geometry-optimized KTbAg3Te4 structure, from the Open Quantum Materials Database.

Lattice parameters (Å, degrees): 6.989 6.989 6.989 90.00 90.00 90.00
Atoms (fractional coordinates):
K 0.000 0.000 0.000
Tb 0.500 0.500 0.500
Ag 0.000 0.500 0.500
Ag 0.500 0.000 0.500
Ag 0.500 0.500 0.000
Te 0.264 0.264 0.264
Te 0.264 0.736 0.736
Te 0.736 0.264 0.736
Te 0.736 0.736 0.264

Results
ρ (g cm⁻³): 5.02
Offset from the most stable computed form (eV/f.u.): 0.412
Symmetry: P-43m, No. 215

=====

(2)
The following is a PBE calculation of a geometry-optimized KTbAg3Te4 structure, from the Open Quantum Materials Database.

Lattice parameters (Å, degrees): 6.663 8.182 11.149 90.00 105.88 90.00
Atoms (fractional coordinates):
K 0.228 0.250 0.414
K 0.772 0.750 0.586
Tb 0.104 0.250 0.806
Tb 0.896 0.750 0.194
Ag 0.298 0.557 0.023
Ag 0.298 0.943 0.023
Ag 0.423 0.750 0.262
Ag 0.577 0.250 0.738
Ag 0.702 0.057 0.977
Ag 0.702 0.443 0.977
Te 0.063 0.250 0.070
Te 0.211 0.750 0.438
Te 0.365 0.531 0.772
Te 0.365 0.969 0.772
Te 0.635 0.031 0.228
Te 0.635 0.469 0.228
Te 0.789 0.250 0.562
Te 0.937 0.750 0.930

Results
ρ (g cm⁻³): 5.86
Offset from the most stable computed form (eV/f.u.): 0.000
Symmetry: P2_1/m, No. 11

=====

(3)
The following is a PBE calculation of a geometry-optimized K2AgTe2 structure, from the Open Quantum Materials Database.

Lattice parameters (Å, degrees): 4.257 6.684 7.150 101.74 90.17 108.56
Atoms (fractional coordinates):
K 0.157 0.317 0.223
K 0.843 0.683 0.777
Ag 0.500 0.000 0.500
Te 0.115 0.228 0.716
Te 0.885 0.772 0.284

Results
Raw total energy (eV for the cell shown): -14.5
ρ (g cm⁻³): 3.89
Symmetry: P-1, No. 2

=====

(4)
The following is a PBE calculation of a geometry-optimized KThAgTe3 structure, from the Open Quantum Materials Database.

Lattice parameters (Å, degrees): 8.199 8.199 11.762 90.00 90.00 147.88
Atoms (fractional coordinates):
K 0.246 0.754 0.750
K 0.754 0.246 0.250
Th 0.000 0.000 0.000
Th 0.000 0.000 0.500
Ag 0.466 0.534 0.250
Ag 0.534 0.466 0.750
Te 0.075 0.925 0.250
Te 0.366 0.634 0.052
Te 0.366 0.634 0.448
Te 0.634 0.366 0.552
Te 0.634 0.366 0.948
Te 0.925 0.075 0.750

Results
Raw total energy (eV for the cell shown): -53.7
ρ (g cm⁻³): 6.02
Symmetry: Cmcm, No. 63

=====

(5)
The following is a PBE calculation of a geometry-optimized KTmAgTe3 structure, from the Open Quantum Materials Database.

Lattice parameters (Å, degrees): 8.444 8.444 11.311 90.00 90.00 150.89
Atoms (fractional coordinates):
K 0.242 0.758 0.750
K 0.758 0.242 0.250
Tm 0.000 0.000 0.000
Tm 0.000 0.000 0.500
Ag 0.464 0.536 0.250
Ag 0.536 0.464 0.750
Te 0.078 0.922 0.250
Te 0.369 0.631 0.046
Te 0.369 0.631 0.454
Te 0.631 0.369 0.546
Te 0.631 0.369 0.954
Te 0.922 0.078 0.750

Results
Raw total energy (eV for the cell shown): -46.3
ρ (g cm⁻³): 5.91
Symmetry: Cmcm, No. 63

=====

(6)
The following is a PBE calculation of a geometry-optimized KTmAgTe3 structure, from the Open Quantum Materials Database.

Lattice parameters (Å, degrees): 16.494 4.279 11.467 90.00 90.00 90.00
Atoms (fractional coordinates):
K 0.230 0.250 0.044
K 0.270 0.750 0.544
K 0.730 0.250 0.456
K 0.770 0.750 0.956
Tm 0.019 0.250 0.339
Tm 0.481 0.750 0.839
Tm 0.519 0.250 0.161
Tm 0.981 0.750 0.661
Ag 0.015 0.750 0.092
Ag 0.485 0.250 0.592
Ag 0.515 0.750 0.408
Ag 0.985 0.250 0.908
Te 0.096 0.750 0.870
Te 0.101 0.250 0.577
Te 0.138 0.750 0.262
Te 0.362 0.250 0.762
Te 0.399 0.750 0.077
Te 0.404 0.250 0.370
Te 0.596 0.750 0.630
Te 0.601 0.250 0.923
Te 0.638 0.750 0.238
Te 0.862 0.250 0.738
Te 0.899 0.750 0.423
Te 0.904 0.250 0.130

Results
Raw total energy (eV for the cell shown): -92.9
ρ (g cm⁻³): 5.73
Symmetry: Pnma, No. 62

=====

(7)
The following is a PBE calculation of a geometry-optimized KUAgTe3 structure, from the Open Quantum Materials Database.

Lattice parameters (Å, degrees): 8.164 8.164 11.518 90.00 90.00 148.26
Atoms (fractional coordinates):
K 0.246 0.754 0.750
K 0.754 0.246 0.250
U 0.000 0.000 0.000
U 0.000 0.000 0.500
Ag 0.462 0.538 0.250
Ag 0.538 0.462 0.750
Te 0.073 0.927 0.250
Te 0.368 0.632 0.045
Te 0.368 0.632 0.455
Te 0.632 0.368 0.545
Te 0.632 0.368 0.955
Te 0.927 0.073 0.750

Results
Raw total energy (eV for the cell shown): -57.8
ρ (g cm⁻³): 6.31
Symmetry: Cmcm, No. 63

=====

(8)
The following is a PBE calculation of a geometry-optimized KAgTe3W structure, from the Open Quantum Materials Database.

Lattice parameters (Å, degrees): 8.196 8.196 10.855 90.00 90.00 150.79
Atoms (fractional coordinates):
K 0.236 0.764 0.750
K 0.764 0.236 0.250
Ag 0.454 0.546 0.250
Ag 0.546 0.454 0.750
Te 0.072 0.928 0.250
Te 0.380 0.620 0.025
Te 0.380 0.620 0.475
Te 0.620 0.380 0.525
Te 0.620 0.380 0.975
Te 0.928 0.072 0.750
W 0.000 0.000 0.000
W 0.000 0.000 0.500

Results
Raw total energy (eV for the cell shown): -53.5
ρ (g cm⁻³): 6.66
Symmetry: Cmcm, No. 63

=====

(9)
The following is a PBE calculation of a geometry-optimized KAg3Te4W structure, from the Open Quantum Materials Database.

Lattice parameters (Å, degrees): 6.854 6.854 6.854 90.00 90.00 90.00
Atoms (fractional coordinates):
K 0.000 0.000 0.000
Ag 0.000 0.500 0.500
Ag 0.500 0.000 0.500
Ag 0.500 0.500 0.000
Te 0.278 0.278 0.278
Te 0.278 0.722 0.722
Te 0.722 0.278 0.722
Te 0.722 0.722 0.278
W 0.500 0.500 0.500

Results
Raw total energy (eV for the cell shown): -35.6
ρ (g cm⁻³): 5.45
Symmetry: P-43m, No. 215

=====

(10)
The following is a PBE calculation of a geometry-optimized KYAgTe3 structure, from the Open Quantum Materials Database.

Lattice parameters (Å, degrees): 16.420 4.313 11.543 90.00 90.00 90.00
Atoms (fractional coordinates):
K 0.230 0.250 0.041
K 0.270 0.750 0.541
K 0.730 0.250 0.459
K 0.770 0.750 0.959
Y 0.021 0.250 0.339
Y 0.479 0.750 0.839
Y 0.521 0.250 0.161
Y 0.979 0.750 0.661
Ag 0.015 0.750 0.093
Ag 0.485 0.250 0.593
Ag 0.515 0.750 0.407
Ag 0.985 0.250 0.907
Te 0.095 0.750 0.872
Te 0.102 0.250 0.579
Te 0.141 0.750 0.259
Te 0.359 0.250 0.759
Te 0.398 0.750 0.079
Te 0.405 0.250 0.372
Te 0.595 0.750 0.628
Te 0.602 0.250 0.921
Te 0.641 0.750 0.241
Te 0.859 0.250 0.741
Te 0.898 0.750 0.421
Te 0.905 0.250 0.128

Results
Raw total energy (eV for the cell shown): -101.3
ρ (g cm⁻³): 5.03
Symmetry: Pnma, No. 62

=====

(11)
The following is a PBE calculation of a geometry-optimized KYAgTe3 structure, from the Open Quantum Materials Database.

Lattice parameters (Å, degrees): 8.469 8.469 11.380 90.00 90.00 150.77
Atoms (fractional coordinates):
K 0.243 0.757 0.750
K 0.757 0.243 0.250
Y 0.000 0.000 0.000
Y 0.000 0.000 0.500
Ag 0.465 0.535 0.250
Ag 0.535 0.465 0.750
Te 0.079 0.921 0.250
Te 0.368 0.632 0.049
Te 0.368 0.632 0.451
Te 0.632 0.368 0.549
Te 0.632 0.368 0.951
Te 0.921 0.079 0.750

Results
Raw total energy (eV for the cell shown): -50.6
ρ (g cm⁻³): 5.16
Symmetry: Cmcm, No. 63

=====

(12)
The following is a PBE calculation of a geometry-optimized KZrAg3Te4 structure, from the Open Quantum Materials Database.

Lattice parameters (Å, degrees): 6.638 8.669 10.824 90.00 106.49 90.00
Atoms (fractional coordinates):
K 0.193 0.250 0.395
K 0.807 0.750 0.605
Zr 0.351 0.750 0.215
Zr 0.649 0.250 0.785
Ag 0.148 0.250 0.789
Ag 0.284 0.014 0.997
Ag 0.284 0.486 0.997
Ag 0.716 0.514 0.003
Ag 0.716 0.986 0.003
Ag 0.852 0.750 0.211
Te 0.019 0.750 0.982
Te 0.209 0.750 0.426
Te 0.399 0.514 0.761
Te 0.399 0.986 0.761
Te 0.601 0.014 0.239
Te 0.601 0.486 0.239
Te 0.791 0.250 0.574
Te 0.981 0.250 0.018

Results
ρ (g cm⁻³): 5.36
Offset from the most stable computed form (eV/f.u.): 0.042
Symmetry: P2_1/m, No. 11

=====

Please write out number 1 again, unchanged.
The following is a PBE calculation of a geometry-optimized KTbAg3Te4 structure, from the Open Quantum Materials Database.

Lattice parameters (Å, degrees): 6.989 6.989 6.989 90.00 90.00 90.00
Atoms (fractional coordinates):
K 0.000 0.000 0.000
Tb 0.500 0.500 0.500
Ag 0.000 0.500 0.500
Ag 0.500 0.000 0.500
Ag 0.500 0.500 0.000
Te 0.264 0.264 0.264
Te 0.264 0.736 0.736
Te 0.736 0.264 0.736
Te 0.736 0.736 0.264

Results
ρ (g cm⁻³): 5.02
Offset from the most stable computed form (eV/f.u.): 0.412
Symmetry: P-43m, No. 215

=====

- Number 12 is which compound?
  KZrAg3Te4

=====

- Look up the ρ of the eighth one.
  6.66 g cm⁻³